A relaxed structure of SmEr6Pu, computed with GGA-PBE.

Lattice parameters (Å, degrees): 5.623 7.098 12.303 90.00 90.00 90.00
Space group Amm2 (No. 38)
Unique sites:
Sm 0.000 0.000 0.000 (multiplicity 2)
Er 0.000 0.000 0.503 (multiplicity 2)
Er 0.000 0.246 0.754 (multiplicity 4)
Er 0.500 0.000 0.337 (multiplicity 2)
Er 0.500 0.250 0.088 (multiplicity 4)
Pu 0.500 0.000 0.836 (multiplicity 2)

Its energy of formation from the pure elements is 59 meV/atom. The value obtained for the density of states at the Fermi level is 19.9 states/eV/f.u. For the calculated volume, the calculation gives 491 Å³ per cell. The total magnetization comes out at 6.58 μB/f.u. As for the total energy: -5.745 eV per atom.

=====

A relaxed structure of CoSi3, computed with GGA-PBE.

Lattice parameters (Å, degrees): 4.330 2.724 4.807 90.00 107.80 90.00
Space group P2/m (No. 10)
Unique sites:
Co 0.000 0.000 0.000 (multiplicity 1)
Si 0.000 0.000 0.500 (multiplicity 1)
Si 0.429 0.500 0.237 (multiplicity 2)

The uncorrected formation energy is 0.5 eV/f.u. The value obtained for the density of states at the Fermi level is 2.1 states/eV/f.u. For the calculated volume, the calculation gives 54 Å³ per cell. The total magnetization comes out at 0.00 μB/f.u. As for the total energy: -5.728 eV per atom.

=====

A relaxed structure of Tb2SiSe, computed with GGA-PBE.

Lattice parameters (Å, degrees): 4.0758 4.0758 21.3528 90.00 90.00 120.00
Space group R3m (No. 160, hexagonal axes)
Unique sites:
Tb 0.0000 0.0000 0.0000 (multiplicity 3)
Tb 0.0000 0.0000 0.1807 (multiplicity 3)
Si 0.0000 0.0000 0.5910 (multiplicity 3)
Se 0.0000 0.0000 0.4216 (multiplicity 3)

The uncorrected formation energy is -4.8 eV/f.u. The value obtained for the density of states at the Fermi level is 2.5 states/eV/f.u. For the calculated volume, the calculation gives 307 Å³ per cell. The total magnetization comes out at 0.00 μB/f.u. As for the total energy: -5.742 eV per atom.

=====

A relaxed structure of CsTe2AuN, computed with GGA-PBE.

Lattice parameters (Å, degrees): 6.565 6.565 3.716 90.00 90.00 90.00
Space group P4/mmm (No. 123)
Unique sites:
Cs 0.000 0.000 0.000 (multiplicity 1)
Te 0.000 0.500 0.500 (multiplicity 2)
Au 0.500 0.500 0.500 (multiplicity 1)
N 0.500 0.500 0.000 (multiplicity 1)

The uncorrected formation energy is 2.5 eV/f.u. The value obtained for the density of states at the Fermi level is 3.8 states/eV/f.u. For the calculated volume, the calculation gives 160 Å³ per cell. The total magnetization comes out at 0.00 μB/f.u. As for the total energy: -3.239 eV per atom.

=====

A relaxed structure of LiCa4Si, computed with GGA-PBE.

Lattice parameters (Å, degrees): 9.467 9.467 9.467 90.00 90.00 90.00
Space group F-43m (No. 216)
Unique sites:
Li 0.000 0.000 0.000 (multiplicity 4)
Ca 0.124 0.124 0.376 (multiplicity 16)
Si 0.250 0.250 0.750 (multiplicity 4)

The uncorrected formation energy is 3.0 eV/f.u. The value obtained for the density of states at the Fermi level is 6.1 states/eV/f.u. For the calculated volume, the calculation gives 848 Å³ per cell. The total magnetization comes out at 0.00 μB/f.u. As for the total energy: -2.060 eV per atom.

=====

A relaxed structure of Tb3NdTh4S8, computed with GGA-PBE.

Lattice parameters (Å, degrees): 7.8934 7.8934 20.1502 90.00 90.00 120.00
Space group R-3m (No. 166, hexagonal axes)
Unique sites:
Tb 0.0000 0.5000 0.0000 (multiplicity 9)
Nd 0.0000 0.0000 0.0000 (multiplicity 3)
Th 0.0000 0.0000 0.5000 (multiplicity 3)
Th 0.0000 0.5000 0.5000 (multiplicity 9)
S 0.0000 0.0000 0.2546 (multiplicity 6)
S 0.0056 0.5028 0.2533 (multiplicity 18)

The uncorrected formation energy is -30.7 eV/f.u. The value obtained for the density of states at the Fermi level is 5.3 states/eV/f.u. For the calculated volume, the calculation gives 1087 Å³ per cell. The total magnetization comes out at 0.00 μB/f.u. As for the total energy: -7.005 eV per atom.

=====

Q: Look up the calculated volume of the third one.
A: 307 Å³ per cell